HfInNi | GGA-PBE | optimized geometry

Structure (POSCAR):
```
HfInNi
1.0
3.121 0.000 0.000
0.000 3.121 0.000
0.000 0.000 11.100
Hf In Ni
2 2 2
Direct
0.000 0.000 0.000 Hf
0.500 0.500 0.500 Hf
0.000 0.000 0.292 In
0.500 0.500 0.792 In
0.000 0.000 0.636 Ni
0.500 0.500 0.136 Ni
```

## Properties
N(E_F) (states/eV/cell): 5.67
Magnetic moment (μB per formula unit): 0.0
Final energy (eV per cell): -38.46
Symmetry: No. 107